DFT (PBE) results for a geometry-optimized ScMn2Pd5 structure.

```
data_ScMn2Pd5
_cell_length_a 4.084
_cell_length_b 4.084
_cell_length_c 14.989
_cell_angle_alpha 90.00
_cell_angle_beta 90.00
_cell_angle_gamma 90.00
_symmetry_space_group_name_H-M 'I 4/m m m'
_symmetry_Int_Tables_number 139
_symmetry_space_group_name_Hall '-I 4 2'
loop_
_atom_site_label
_atom_site_type_symbol
_atom_site_fract_x
_atom_site_fract_y
_atom_site_fract_z
_atom_site_occupancy
Sc1 Sc 0.000 0.000 0.000 1
Mn1 Mn 0.000 0.000 0.250 1
Pd1 Pd 0.000 0.000 0.500 1
Pd2 Pd 0.000 0.500 0.133 1
```

Calculated values
* raw total energy: -6.842 eV/atom

=====

DFT (PBE) results for a geometry-optimized Ce4IrRuCl2 structure.

```
data_Ce4IrRuCl2
_cell_length_a 6.986
_cell_length_b 4.031
_cell_length_c 7.746
_cell_angle_alpha 90.00
_cell_angle_beta 107.50
_cell_angle_gamma 90.00
_symmetry_space_group_name_H-M 'P 1 2/m 1'
_symmetry_Int_Tables_number 10
_symmetry_space_group_name_Hall '-P 2y'
loop_
_atom_site_label
_atom_site_type_symbol
_atom_site_fract_x
_atom_site_fract_y
_atom_site_fract_z
_atom_site_occupancy
Ce1 Ce 0.232 0.000 0.209 1
Ce2 Ce 0.261 0.500 0.793 1
Ir1 Ir 0.500 0.000 0.000 1
Ru1 Ru 0.000 0.500 0.000 1
Cl1 Cl 0.000 0.000 0.500 1
Cl2 Cl 0.500 0.500 0.500 1
```

Calculated values
* formation energy without anion corrections: -1.0370 eV per atom

=====

Number 1: M_tot 1.094 μB/atom. Number 2: M_tot 0.407 μB/atom.